Entry 1:
Here is a geometry-optimized Ac2SmIn structure from Alexandria via LeMat-Bulk. Energies are from PBE.

The structure belongs to space group P4/mmm (No. 123); the cell edges are 3.942, 3.942 and 9.647 Å and the angles 90.00°, 90.00° and 90.00°. The distinct sites, in fractional coordinates, are Ac at (0.000, 0.000, 0.227), Sm at (0.500, 0.500, 0.500) and In at (0.500, 0.500, 0.000).

For the energy relative to the elements, the calculation gives -0.154 eV/atom. Its total energy is -4.07 eV per atom. As for the density of states at the Fermi level: 5.4 states/eV/f.u.

Entry 2:
Here is a geometry-optimized Pm2Al2InRh5 structure from Alexandria via LeMat-Bulk. Energies are from PBE.

The structure belongs to space group P4/mbm (No. 127); the cell edges are 10.055, 10.055 and 3.542 Å and the angles 90.00°, 90.00° and 90.00°. The distinct sites, in fractional coordinates, are Pm at (0.177, 0.323, 0.000), Al at (0.121, 0.621, 0.000), In at (0.000, 0.000, 0.000), Rh at (0.000, 0.500, 0.500) and Rh at (0.067, 0.788, 0.500).

For the energy relative to the elements, the calculation gives -0.780 eV/atom. Its total energy is -6.43 eV per atom. As for the density of states at the Fermi level: 5.5 states/eV/f.u.

Entry 3:
Here is a geometry-optimized K2LaSb structure from Alexandria via LeMat-Bulk. Energies are from PBE.

The structure belongs to space group Pm (No. 6); the cell edges are 4.560, 4.431 and 10.637 Å and the angles 90.00°, 102.23° and 90.00°. The distinct sites, in fractional coordinates, are K at (0.000, 0.000, 0.000), K at (0.331, 0.500, 0.654), La at (0.669, 0.000, 0.338) and Sb at (0.148, 0.500, 0.296).

As for the uncorrected formation energy: -429 meV/atom. Its total energy is -3.24 eV per atom. As for the density of states at the Fermi level: 2.8 states/eV/f.u.

Entry 4:
Here is a geometry-optimized IrPtAu2 structure from Alexandria via LeMat-Bulk. Energies are from PBE.

The structure belongs to space group Immm (No. 71); the cell edges are 2.772, 4.919 and 9.796 Å and the angles 90.00°, 90.00° and 90.00°. The distinct sites, in fractional coordinates, are Ir at (0.000, 0.000, 0.000), Pt at (0.000, 0.000, 0.500) and Au at (0.000, 0.500, 0.254).

For the energy relative to the elements, the calculation gives 0.256 eV/atom. Its total energy is -5.11 eV per atom. As for the density of states at the Fermi level: 3.5 states/eV/f.u.

Entry 5:
Here is a geometry-optimized LiYBe2Nb structure from Alexandria via LeMat-Bulk. Energies are from PBE.

The structure belongs to space group P4/mmm (No. 123); the cell edges are 4.278, 4.278 and 4.538 Å and the angles 90.00°, 90.00° and 90.00°. The distinct sites, in fractional coordinates, are Li at (0.000, 0.000, 0.000), Y at (0.500, 0.500, 0.500), Be at (0.000, 0.500, 0.000) and Nb at (0.000, 0.000, 0.500).

For the energy relative to the elements, the calculation gives 0.708 eV/atom. Its total energy is -4.47 eV per atom. As for the density of states at the Fermi level: 3.1 states/eV/f.u.

Entry 6:
Here is a geometry-optimized Rb3Nd3HfTe8 structure from Alexandria via LeMat-Bulk. Energies are from PBE.

The structure belongs to space group R-3m (No. 166, hexagonal axes); the cell edges are 9.0220, 9.0220 and 26.3467 Å and the angles 90.00°, 90.00° and 120.00°. The distinct sites, in fractional coordinates, are Rb at (0.0000, 0.5000, 0.0000), Nd at (0.0000, 0.5000, 0.5000), Hf at (0.0000, 0.0000, 0.5000), Te at (0.0000, 0.0000, 0.2356) and Te at (0.0239, 0.5120, 0.2312).

As for the uncorrected formation energy: -1272 meV/atom. Its total energy is -4.76 eV per atom.

Entry 7:
Here is a geometry-optimized AcNd10Sm4 structure from Alexandria via LeMat-Bulk. Energies are from PBE.

The structure belongs to space group I4/m (No. 87); the cell edges are 12.897, 12.897 and 6.981 Å and the angles 90.00°, 90.00° and 90.00°. The distinct sites, in fractional coordinates, are Ac at (0.000, 0.000, 0.000), Nd at (0.000, 0.500, 0.250), Nd at (0.130, 0.293, 0.249) and Sm at (0.067, 0.821, 0.500).

For the energy relative to the elements, the calculation gives 0.467 eV/atom. Its total energy is -4.24 eV per atom. As for the density of states at the Fermi level: 25.4 states/eV/f.u.

Entry 8:
Here is a geometry-optimized Ga2Ni4Au structure from Alexandria via LeMat-Bulk. Energies are from PBE.

The structure belongs to space group I4/mmm (No. 139); the cell edges are 3.403, 3.403 and 17.240 Å and the angles 90.00°, 90.00° and 90.00°. The distinct sites, in fractional coordinates, are Ga at (0.000, 0.000, 0.127), Ni at (0.000, 0.000, 0.353), Ni at (0.000, 0.500, 0.250) and Au at (0.000, 0.000, 0.500).

For the energy relative to the elements, the calculation gives -0.058 eV/atom. Its total energy is -4.69 eV per atom. As for the density of states at the Fermi level: 5.4 states/eV/f.u.

Entry 9:
Here is a geometry-optimized Pm3ThIr8 structure from Alexandria via LeMat-Bulk. Energies are from PBE.

The structure belongs to space group R3m (No. 160, hexagonal axes); the cell edges are 5.4321, 5.4321 and 26.5848 Å and the angles 90.00°, 90.00° and 120.00°. The distinct sites, in fractional coordinates, are Pm at (0.0000, 0.0000, 0.0000), Pm at (0.0000, 0.0000, 0.1240), Pm at (0.0000, 0.0000, 0.6274), Th at (0.0000, 0.0000, 0.5013), Ir at (0.0000, 0.0000, 0.3132), Ir at (0.0000, 0.0000, 0.8130), Ir at (0.0009, 0.5005, 0.0634) and Ir at (0.1675, 0.3350, 0.8963).

For the energy relative to the elements, the calculation gives -0.755 eV/atom. Its total energy is -8.47 eV per atom. As for the density of states at the Fermi level: 5.2 states/eV/f.u.